K4MgW3O12 | Alexandria | PBE+U | optimized geometry; E_tot = -259.50 eV/cell
1.0
-7.4075 2.3256 2.1422
3.9709 -5.0258 7.9909
5.8785 8.0657 1.2508
K O Mg W
8 24 2 6
Direct
0.5000 0.0000 0.0000
0.7877 0.2434 0.7775
0.6402 0.5638 0.8840
0.2123 0.7566 0.2225
0.3598 0.4362 0.1160
0.0000 0.0000 0.0000
0.7469 0.5287 0.4733
0.2531 0.4713 0.5267
0.7809 0.9247 0.5140
0.8274 0.2161 0.0501
0.0978 0.4847 0.2084
0.2191 0.0753 0.4860
0.1154 0.6950 0.6414
0.6828 0.9515 0.7758
0.9648 0.7840 0.3776
0.9022 0.5153 0.7916
0.3172 0.0485 0.2242
0.8846 0.3050 0.3586
0.3838 0.8480 0.5063
0.1726 0.7839 0.9499
0.2163 0.2176 0.9106
0.6037 0.6748 0.6242
0.5539 0.7015 0.2674
0.7675 0.0003 0.2641
0.6162 0.1520 0.4937
0.0352 0.2160 0.6224
0.7837 0.7824 0.0894
0.2953 0.5567 0.8586
0.7047 0.4433 0.1414
0.4461 0.2985 0.7326
0.2325 0.9997 0.7359
0.3963 0.3252 0.3758
0.1667 0.8726 0.5549
0.8333 0.1274 0.4451
0.1230 0.6403 0.8130
0.6131 0.8504 0.6040
0.7675 0.8199 0.2624
0.2325 0.1801 0.7376
0.8770 0.3597 0.1870
0.3869 0.1496 0.3960